# 1
Here is a relaxed structure of K3Pu2ThTe6 from Alexandria via LeMat-Bulk. Energies are from PBE-GGA.

abc: 7.971 13.806 8.641
angles: 90.00 107.91 90.00
Space group C2/m (No. 12)
Asymmetric unit:
K  0.000  0.000  0.000
K  0.000  0.332  0.000
Pu  0.000  0.167  0.500
Th  0.000  0.500  0.500
Te  0.236  0.335  0.713
Te  0.241  0.000  0.713

Computed properties:
The raw formation energy comes out at -114 kJ/mol of atoms. For the magnetization, the calculation gives 0.917 μB/atom. Its crystal system is monoclinic.


# 2
Here is a relaxed structure of K2PuTiTe4 from Alexandria via LeMat-Bulk. Energies are from PBE-GGA.

abc: 7.522 4.345 8.610
angles: 90.00 106.85 90.00
Space group P2/m (No. 10)
Asymmetric unit:
K  0.000  0.000  0.000
K  0.500  0.500  0.000
Pu  0.000  0.500  0.500
Ti  0.500  0.000  0.500
Te  0.256  0.000  0.705
Te  0.288  0.500  0.305

Computed properties:
The raw formation energy comes out at -92 kJ/mol of atoms. For the magnetization, the calculation gives 0.750 μB/atom. Its crystal system is monoclinic.


# 3
Here is a relaxed structure of K3Pu3TiTe8 from Alexandria via LeMat-Bulk. Energies are from PBE-GGA.

abc: 8.8059 8.8059 25.2580
angles: 90.00 90.00 120.00
Space group R-3m (No. 166, hexagonal axes)
Asymmetric unit:
K  0.0000  0.5000  0.0000
Pu  0.0000  0.5000  0.5000
Ti  0.0000  0.0000  0.5000
Te  0.0000  0.0000  0.2373
Te  0.0249  0.5125  0.2317

Computed properties:
The raw formation energy comes out at -96 kJ/mol of atoms. For the magnetization, the calculation gives 1.000 μB/atom. Its crystal system is trigonal.


# 4
Here is a relaxed structure of KPuTlTe3 from Alexandria via LeMat-Bulk. Energies are from PBE-GGA.

abc: 9.741 4.482 10.515
angles: 90.00 101.46 90.00
Space group P2_1/m (No. 11)
Asymmetric unit:
K  0.170  0.250  0.204
Pu  0.353  0.750  0.844
Tl  0.129  0.250  0.547
Te  0.131  0.250  0.841
Te  0.348  0.750  0.552
Te  0.428  0.750  0.143

Computed properties:
The raw formation energy comes out at -73 kJ/mol of atoms. For the magnetization, the calculation gives 0.741 μB/atom. Its crystal system is monoclinic.